9
Lattice="-0.920 -3.258 -3.420 3.923 1.414 -2.402 5.360 -7.545 9.132" Properties=species:S:1:pos:R:3 comment="GGA-PBE Tb6HoZn2, relaxed" spacegroup="I4/mmm (139)" de_polymorph_ev_per_fu=3.65 final_energy_ev_per_atom=-3.617 formation_enthalpy_0k_ev_per_atom=0.261 pbc="T T T"
Tb 7.363 -5.958 3.696
Zn 4.432 -5.469 4.018
Tb 3.422 -1.095 0.123
Tb 5.392 -3.526 1.909
Tb 1.000 -3.431 -0.386
Ho 0.000 0.000 0.000
Tb 2.971 -5.862 1.400
Tb 4.941 -8.294 3.186
Zn 3.931 -3.919 -0.709